# Tm3Al3Cu, relaxed, DFT PBE-GGA
data_Tm3Al3Cu
_chemical_formula_sum 'Tm6 Al6 Cu2'
_space_group_name_H-M_alt 'P 1'
_space_group_IT_number 1
_space_group_name_Hall 'P 1'
_cell_length_a 4.371
_cell_length_b 5.734
_cell_length_c 13.483
_cell_angle_alpha 84.77
_cell_angle_beta 80.67
_cell_angle_gamma 67.60
loop_
_atom_site_label
_atom_site_type_symbol
_atom_site_fract_x
_atom_site_fract_y
_atom_site_fract_z
_atom_site_occupancy
Tm1 Tm 0.531 0.320 0.617 1
Tm2 Tm 0.469 0.680 0.383 1
Tm3 Tm 0.255 0.262 0.229 1
Tm4 Tm 0.745 0.738 0.771 1
Tm5 Tm 0.400 0.280 0.920 1
Tm6 Tm 0.600 0.720 0.080 1
Al1 Al 0.860 0.740 0.541 1
Al2 Al 0.140 0.260 0.459 1
Al3 Al 0.112 0.853 0.924 1
Al4 Al 0.888 0.147 0.076 1
Al5 Al 0.959 0.844 0.238 1
Al6 Al 0.041 0.156 0.762 1
Cu1 Cu 0.751 0.102 0.396 1
Cu2 Cu 0.249 0.898 0.604 1
# M_tot ... 0.000 μB/atom
# E_tot ... -62.92 eV per cell

***

# TlBiHPd3, relaxed, DFT PBE-GGA
data_TlBiHPd3
_chemical_formula_sum 'Tl2 Bi2 H2 Pd6'
_space_group_name_H-M_alt 'P 1'
_space_group_IT_number 1
_space_group_name_Hall 'P 1'
_cell_length_a 3.829
_cell_length_b 7.724
_cell_length_c 8.251
_cell_angle_alpha 113.46
_cell_angle_beta 90.00
_cell_angle_gamma 104.35
loop_
_atom_site_label
_atom_site_type_symbol
_atom_site_fract_x
_atom_site_fract_y
_atom_site_fract_z
_atom_site_occupancy
Tl1 Tl 0.377 0.755 0.915 1
Tl2 Tl 0.623 0.245 0.085 1
Bi1 Bi 0.679 0.358 0.604 1
Bi2 Bi 0.321 0.642 0.396 1
H1 H 0.973 0.946 0.270 1
H2 H 0.027 0.054 0.730 1
Pd1 Pd 0.824 0.648 0.119 1
Pd2 Pd 0.883 0.767 0.671 1
Pd3 Pd 0.475 0.951 0.287 1
Pd4 Pd 0.117 0.233 0.329 1
Pd5 Pd 0.525 0.049 0.713 1
Pd6 Pd 0.176 0.352 0.881 1
# M_tot ... 0.000 μB/atom
# E_tot ... -52.09 eV per cell

***

# LaTmNiGe, relaxed, DFT PBE-GGA
data_LaTmNiGe
_chemical_formula_sum 'La1 Tm1 Ni1 Ge1'
_space_group_name_H-M_alt 'P 1'
_space_group_IT_number 1
_space_group_name_Hall 'P 1'
_cell_length_a 5.034
_cell_length_b 5.034
_cell_length_c 5.034
_cell_angle_alpha 60.00
_cell_angle_beta 60.00
_cell_angle_gamma 60.00
loop_
_atom_site_label
_atom_site_type_symbol
_atom_site_fract_x
_atom_site_fract_y
_atom_site_fract_z
_atom_site_occupancy
Ni1 Ni 0.250 0.250 0.250 1
Ge1 Ge 0.750 0.750 0.750 1
Tm1 Tm 0.000 0.000 0.000 1
La1 La 0.500 0.500 0.500 1
# M_tot ... 0.000 μB/atom
# E_tot ... -21.74 eV per cell

***

| no. | mass density (g cm⁻³) |
| --- | --- |
| 1 | 7.0 |
| 2 | 11.3 |
| 3 | 8.1 |